# PBE Ce2PuBe2P4, optimized geometry
data_Ce2PuBe2P4
_chemical_formula_sum 'Ce4 Pu2 Be4 P8'
_cell_length_a 14.4221
_cell_length_b 3.7894
_cell_length_c 6.6613
_cell_angle_alpha 90.00
_cell_angle_beta 111.16
_cell_angle_gamma 90.00
_symmetry_space_group_name_H-M 'C 1 2/m 1'
_symmetry_Int_Tables_number 12
_symmetry_space_group_name_Hall '-C 2y'
loop_
_atom_site_label
_atom_site_type_symbol
_atom_site_fract_x
_atom_site_fract_y
_atom_site_fract_z
Ce1 Ce 0.1344 0.0000 0.0639
Pu1 Pu 0.0000 0.0000 0.5000
Be1 Be 0.1778 0.5000 0.4906
P1 P 0.0291 0.5000 0.2312
P2 P 0.2099 0.0000 0.6874
# ΔH_f (0 K) = -8.38 eV per formula unit

=====

VASP calculation (PBE) on Ac4RhAu2S after structural relaxation.

```
data_Ac4RhAu2S
_chemical_formula_sum 'Ac4 Rh1 Au2 S1'
_cell_length_a 7.7168
_cell_length_b 4.3810
_cell_length_c 7.8395
_cell_angle_alpha 90.00
_cell_angle_beta 108.26
_cell_angle_gamma 90.00
_symmetry_space_group_name_H-M 'P 1 2/m 1'
_symmetry_Int_Tables_number 10
_symmetry_space_group_name_Hall '-P 2y'
loop_
_atom_site_label
_atom_site_type_symbol
_atom_site_fract_x
_atom_site_fract_y
_atom_site_fract_z
Ac1 Ac 0.2302 0.0000 0.2315
Ac2 Ac 0.2344 0.5000 0.7562
Rh1 Rh 0.0000 0.5000 0.0000
Au1 Au 0.5000 0.0000 0.0000
Au2 Au 0.5000 0.5000 0.5000
S1 S 0.0000 0.0000 0.5000
```

=====

# PBE LaEu2Y, optimized geometry
data_LaEu2Y
_chemical_formula_sum 'La1 Eu2 Y1'
_cell_length_a 3.7280
_cell_length_b 3.7280
_cell_length_c 10.7476
_cell_angle_alpha 90.00
_cell_angle_beta 90.00
_cell_angle_gamma 90.00
_symmetry_space_group_name_H-M 'P 4/m m m'
_symmetry_Int_Tables_number 123
_symmetry_space_group_name_Hall '-P 4 2'
loop_
_atom_site_label
_atom_site_type_symbol
_atom_site_fract_x
_atom_site_fract_y
_atom_site_fract_z
La1 La 0.0000 0.0000 0.0000
Eu1 Eu 0.5000 0.5000 0.2563
Y1 Y 0.0000 0.0000 0.5000
# ΔH_f (0 K) = 0.41 eV per formula unit
# Excess energy over the best structure of this formula in the dataset = 20.9 meV/atom

=====

# PBE Tb5PmPr2Sm, optimized geometry
data_Tb5PmPr2Sm
_chemical_formula_sum 'Tb20 Pm4 Pr8 Sm4'
_cell_length_a 8.7302
_cell_length_b 8.7302
_cell_length_c 15.8344
_cell_angle_alpha 90.00
_cell_angle_beta 90.00
_cell_angle_gamma 90.00
_symmetry_space_group_name_H-M 'I 4/m c m'
_symmetry_Int_Tables_number 140
_symmetry_space_group_name_Hall '-I 4 2c'
loop_
_atom_site_label
_atom_site_type_symbol
_atom_site_fract_x
_atom_site_fract_y
_atom_site_fract_z
Tb1 Tb 0.0000 0.0000 0.0000
Tb2 Tb 0.2099 0.2901 0.1392
Pm1 Pm 0.0000 0.0000 0.2500
Pr1 Pr 0.1187 0.3813 0.5000
Sm1 Sm 0.0000 0.5000 0.2500
# ΔH_f (0 K) = 2.29 eV per formula unit

=====

# PBE LaMo3As, optimized geometry
data_LaMo3As
_chemical_formula_sum 'La1 Mo3 As1'
_cell_length_a 4.8190
_cell_length_b 4.8190
_cell_length_c 4.8190
_cell_angle_alpha 90.00
_cell_angle_beta 90.00
_cell_angle_gamma 90.00
_symmetry_space_group_name_H-M 'P m -3 m'
_symmetry_Int_Tables_number 221
_symmetry_space_group_name_Hall '-P 4 2 3'
loop_
_atom_site_label
_atom_site_type_symbol
_atom_site_fract_x
_atom_site_fract_y
_atom_site_fract_z
La1 La 0.0000 0.0000 0.0000
Mo1 Mo 0.0000 0.0000 0.5000
As1 As 0.5000 0.5000 0.5000
# ΔH_f (0 K) = 11.59 eV per formula unit
# Excess energy over the best structure of this formula in the dataset = 1592.2 meV/atom

=====

# PBE Na6SrPb2, optimized geometry
data_Na6SrPb2
_chemical_formula_sum 'Na6 Sr1 Pb2'
_cell_length_a 5.6014
_cell_length_b 5.6014
_cell_length_c 10.2054
_cell_angle_alpha 90.00
_cell_angle_beta 90.00
_cell_angle_gamma 120.00
_symmetry_space_group_name_H-M 'P -3 m 1'
_symmetry_Int_Tables_number 164
_symmetry_space_group_name_Hall '-P 3 2"'
loop_
_atom_site_label
_atom_site_type_symbol
_atom_site_fract_x
_atom_site_fract_y
_atom_site_fract_z
Na1 Na 0.0000 0.0000 0.1678
Na2 Na 0.3333 0.6667 0.0442
Na3 Na 0.3333 0.6667 0.3597
Sr1 Sr 0.0000 0.0000 0.5000
Pb1 Pb 0.3333 0.6667 0.7120
# ΔH_f (0 K) = -1.40 eV per formula unit
# Excess energy over the best structure of this formula in the dataset = 0.0 meV/atom

=====

# PBE MgBe2V, optimized geometry
data_MgBe2V
_chemical_formula_sum 'Mg4 Be8 V4'
_cell_length_a 9.3831
_cell_length_b 3.1384
_cell_length_c 8.0754
_cell_angle_alpha 90.00
_cell_angle_beta 121.89
_cell_angle_gamma 90.00
_symmetry_space_group_name_H-M 'C 1 2/m 1'
_symmetry_Int_Tables_number 12
_symmetry_space_group_name_Hall '-C 2y'
loop_
_atom_site_label
_atom_site_type_symbol
_atom_site_fract_x
_atom_site_fract_y
_atom_site_fract_z
Mg1 Mg 0.1053 0.0000 0.4328
Be1 Be 0.1523 0.0000 0.9345
Be2 Be 0.1639 0.5000 0.7494
V1 V 0.0930 0.5000 0.1353
# ΔH_f (0 K) = 0.79 eV per formula unit

=====

# PBE KAg4Rh, optimized geometry
data_KAg4Rh
_chemical_formula_sum 'K4 Ag16 Rh4'
_cell_length_a 7.8883
_cell_length_b 7.8883
_cell_length_c 7.8883
_cell_angle_alpha 90.00
_cell_angle_beta 90.00
_cell_angle_gamma 90.00
_symmetry_space_group_name_H-M 'F -4 3 m'
_symmetry_Int_Tables_number 216
_symmetry_space_group_name_Hall 'F -4 2 3'
loop_
_atom_site_label
_atom_site_type_symbol
_atom_site_fract_x
_atom_site_fract_y
_atom_site_fract_z
K1 K 0.0000 0.0000 0.0000
Ag1 Ag 0.1244 0.1244 0.3756
Rh1 Rh 0.2500 0.2500 0.7500
# ΔH_f (0 K) = 2.11 eV per formula unit

=====

Number 1: N(E_F) 1.6221 states/eV per atom, raw total energy -7.074 eV per atom. Number 2: N(E_F) 0.7077 states/eV per atom, raw total energy -5.348 eV per atom. Number 3: N(E_F) 1.1557 states/eV per atom, raw total energy -7.883 eV per atom. Number 4: N(E_F) 1.1770 states/eV per atom, raw total energy -4.433 eV per atom. Number 5: N(E_F) 1.6987 states/eV per atom, raw total energy -6.097 eV per atom. Number 6: N(E_F) 0.2663 states/eV per atom, raw total energy -2.046 eV per atom. Number 7: N(E_F) 0.4466 states/eV per atom, raw total energy -4.343 eV per atom. Number 8: N(E_F) 0.4466 states/eV per atom, raw total energy -2.958 eV per atom.